# 1
Sm2DyRh2 (PBE, relaxed); ΔH_f (0 K) = -54.47 kJ per mole of atoms; offset from the most stable computed form = 0.0862 eV/atom
1.0
1.901 -13.424 0.000
1.901 13.424 0.000
0.000 0.000 4.693
Sm Dy Rh
4 2 4
direct
0.052 0.948 0.750
0.267 0.733 0.250
0.733 0.267 0.750
0.948 0.052 0.250
0.364 0.636 0.750
0.636 0.364 0.250
0.159 0.841 0.750
0.466 0.534 0.750
0.534 0.466 0.250
0.841 0.159 0.250

=====

# 2
LiSn2S3O12 (PBE, relaxed); energy relative to the elements, uncorrected = -1.4063 eV per atom
1.0
4.654 2.687 6.641
-4.654 2.687 6.641
0.000 -5.374 6.641
Li Sn S O
2 4 6 24
direct
0.000 0.000 0.000
0.500 0.500 0.500
0.164 0.164 0.164
0.336 0.336 0.336
0.664 0.664 0.664
0.836 0.836 0.836
0.094 0.750 0.406
0.250 0.594 0.906
0.406 0.094 0.750
0.594 0.906 0.250
0.750 0.406 0.094
0.906 0.250 0.594
0.055 0.310 0.571
0.071 0.810 0.555
0.099 0.766 0.891
0.109 0.901 0.234
0.190 0.445 0.929
0.234 0.109 0.901
0.266 0.599 0.391
0.310 0.571 0.055
0.391 0.266 0.599
0.401 0.609 0.734
0.429 0.945 0.690
0.445 0.929 0.190
0.555 0.071 0.810
0.571 0.055 0.310
0.599 0.391 0.266
0.609 0.734 0.401
0.690 0.429 0.945
0.734 0.401 0.609
0.766 0.891 0.099
0.810 0.555 0.071
0.891 0.099 0.766
0.901 0.234 0.109
0.929 0.190 0.445
0.945 0.690 0.429

=====

# 3
KTlWCl6 (PBE, relaxed); energy relative to the elements, uncorrected = -1.1134 eV per atom
1.0
7.541 0.000 0.000
-3.770 6.530 0.000
0.000 0.000 12.049
K Tl W Cl
2 2 2 12
direct
0.333 0.667 0.250
0.667 0.333 0.750
0.000 0.000 0.000
0.000 0.000 0.500
0.333 0.667 0.750
0.667 0.333 0.250
0.074 0.408 0.634
0.074 0.666 0.866
0.334 0.408 0.866
0.334 0.926 0.634
0.408 0.074 0.134
0.408 0.334 0.366
0.592 0.666 0.634
0.592 0.926 0.866
0.666 0.074 0.366
0.666 0.592 0.134
0.926 0.334 0.134
0.926 0.592 0.366

=====

# 4
FeRe2Cl (PBE, relaxed); offset from the most stable computed form = 0.7037 eV/atom; energy relative to the elements, uncorrected = 1.0073 eV per atom
1.0
0.000 3.006 3.006
3.006 0.000 3.006
3.006 3.006 0.000
Fe Re Cl
1 2 1
direct
0.000 0.000 0.000
0.250 0.250 0.250
0.750 0.750 0.750
0.500 0.500 0.500

=====

# 5
YHo6Ni3 (PBE, relaxed); ΔH_f (0 K) = -23.28 kJ per mole of atoms
1.0
5.454 -6.463 0.000
5.454 6.463 0.000
0.000 0.000 7.034
Y Ho Ni
2 12 6
direct
0.180 0.820 0.500
0.820 0.180 0.000
0.082 0.465 0.728
0.130 0.204 0.376
0.204 0.130 0.876
0.273 0.727 0.037
0.465 0.082 0.228
0.469 0.531 0.381
0.531 0.469 0.881
0.535 0.918 0.728
0.727 0.273 0.537
0.796 0.870 0.376
0.870 0.796 0.876
0.918 0.535 0.228
0.082 0.918 0.166
0.198 0.412 0.092
0.412 0.198 0.592
0.588 0.802 0.092
0.802 0.588 0.592
0.918 0.082 0.666

=====

# 6
Zn2I3Cl (PBE, relaxed); energy relative to the elements, uncorrected = -0.6566 eV per atom
1.0
15.098 -2.103 0.000
15.098 2.103 0.000
-0.264 0.000 8.021
Zn I Cl
4 6 2
direct
0.034 0.034 0.171
0.264 0.264 0.183
0.736 0.736 0.817
0.966 0.966 0.829
0.054 0.054 0.852
0.293 0.293 0.857
0.433 0.433 0.664
0.567 0.567 0.336
0.707 0.707 0.143
0.946 0.946 0.148
0.314 0.314 0.378
0.686 0.686 0.622

=====

# 7
PuNpU2 (PBE, relaxed); ΔH_f (0 K) = 26.07 kJ per mole of atoms
1.0
3.267 0.000 0.000
0.000 3.267 0.000
0.000 0.000 7.655
Pu Np U
1 1 2
direct
0.000 0.000 0.000
0.000 0.000 0.500
0.500 0.500 0.287
0.500 0.500 0.713

=====

# 8
V3SiPb (PBE, relaxed); offset from the most stable computed form = 1.3003 eV/atom; energy relative to the elements, uncorrected = 1.8685 eV per atom
1.0
5.050 0.000 0.000
0.000 5.050 0.000
0.000 0.000 5.050
V Si Pb
3 1 1
direct
0.000 0.000 0.500
0.000 0.500 0.000
0.500 0.000 0.000
0.500 0.500 0.500
0.000 0.000 0.000

=====

# 9
Pm2SmTe3 (PBE, relaxed); energy relative to the elements, uncorrected = -1.3986 eV per atom
1.0
-2.241 3.144 6.670
2.241 -3.144 6.670
2.241 3.144 -6.670
Pm Sm Te
2 1 3
direct
0.168 0.168 0.000
0.832 0.832 0.000
0.500 0.500 0.000
0.000 0.500 0.500
0.335 0.835 0.500
0.665 0.165 0.500

=====

# 10
BeRe2Au (PBE, relaxed); ΔH_f (0 K) = 42.35 kJ per mole of atoms
1.0
1.376 0.794 8.835
-1.376 0.794 8.835
0.000 -1.589 8.835
Be Re Au
1 2 1
direct
0.000 0.000 0.000
0.258 0.258 0.258
0.742 0.742 0.742
0.500 0.500 0.500

=====

# 11
Tb3SmC8 (PBE, relaxed); ΔH_f (0 K) = 12.59 kJ per mole of atoms
1.0
0.000 4.860 4.006
4.836 0.000 4.006
4.836 4.860 0.000
Tb Sm C
3 1 8
direct
0.000 0.000 0.000
0.247 0.247 0.253
0.747 0.747 0.753
0.500 0.500 0.500
0.081 0.413 0.587
0.111 0.622 0.378
0.378 0.892 0.622
0.413 0.081 0.919
0.588 0.920 0.412
0.622 0.111 0.889
0.892 0.378 0.108
0.920 0.588 0.080

=====

# 12
LiDy2ErPd4 (PBE, relaxed); ΔH_f (0 K) = -77.63 kJ per mole of atoms
1.0
2.433 1.405 7.818
-2.433 1.405 7.818
0.000 -2.809 7.818
Li Dy Er Pd
1 2 1 4
direct
0.000 0.000 0.000
0.257 0.257 0.257
0.743 0.743 0.743
0.500 0.500 0.500
0.126 0.126 0.126
0.379 0.379 0.379
0.621 0.621 0.621
0.874 0.874 0.874

=====

# 13
Li3LaZr (PBE, relaxed); ΔH_f (0 K) = 85.23 kJ per mole of atoms; offset from the most stable computed form = 0.0000 eV/atom
1.0
5.186 0.000 0.000
0.000 5.186 0.000
0.000 0.000 5.186
Li La Zr
3 1 1
direct
0.000 0.000 0.500
0.000 0.500 0.000
0.500 0.000 0.000
0.500 0.500 0.500
0.000 0.000 0.000

=====

# 14
CaThBi2 (PBE, relaxed); ΔH_f (0 K) = -60.63 kJ per mole of atoms; offset from the most stable computed form = 0.1154 eV/atom
1.0
2.252 1.300 8.042
-2.252 1.300 8.042
0.000 -2.600 8.042
Ca Th Bi
1 1 2
direct
0.000 0.000 0.000
0.170 0.170 0.170
0.419 0.419 0.419
0.586 0.586 0.586

=====

# 15
Ac4LaPb2 (PBE, relaxed); ΔH_f (0 K) = -25.75 kJ per mole of atoms
1.0
8.781 0.000 0.000
0.000 7.207 0.000
-3.893 0.000 8.727
Ac La Pb
8 2 4
direct
0.034 0.250 0.499
0.179 0.505 0.216
0.179 0.995 0.216
0.337 0.250 0.912
0.663 0.750 0.088
0.821 0.005 0.784
0.821 0.495 0.784
0.966 0.750 0.501
0.390 0.750 0.636
0.610 0.250 0.364
0.219 0.750 0.902
0.438 0.250 0.603
0.562 0.750 0.397
0.781 0.250 0.098

=====

# 16
SeS5I (PBE, relaxed); energy relative to the elements, uncorrected = 0.4959 eV per atom
1.0
6.454 -4.559 0.000
6.454 4.559 0.000
-0.188 0.000 4.507
Se S I
1 5 1
direct
0.000 0.000 0.000
0.051 0.826 0.416
0.273 0.273 0.612
0.642 0.642 0.449
0.642 0.642 0.875
0.826 0.051 0.416
0.358 0.358 0.123

=====

# 17
La6Y12Ho (PBE, relaxed); ΔH_f (0 K) = 20.38 kJ per mole of atoms; offset from the most stable computed form = 0.0834 eV/atom
1.0
6.745 3.894 4.234
-6.745 3.894 4.234
0.000 -7.788 4.234
La Y Ho
6 12 1
direct
0.156 0.595 0.595
0.405 0.405 0.844
0.405 0.844 0.405
0.595 0.156 0.595
0.595 0.595 0.156
0.844 0.405 0.405
0.000 0.255 0.745
0.000 0.745 0.255
0.147 0.147 0.420
0.147 0.420 0.147
0.255 0.000 0.745
0.255 0.745 0.000
0.420 0.147 0.147
0.580 0.853 0.853
0.745 0.000 0.255
0.745 0.255 0.000
0.853 0.580 0.853
0.853 0.853 0.580
0.500 0.500 0.500

=====

# 18
LaSmPdRu (PBE, relaxed); ΔH_f (0 K) = -44.73 kJ per mole of atoms
1.0
0.000 3.571 3.571
3.571 0.000 3.571
3.571 3.571 0.000
La Sm Pd Ru
1 1 1 1
direct
0.000 0.000 0.000
0.500 0.500 0.500
0.250 0.250 0.250
0.750 0.750 0.750

=====

# 19
HgBRh2C (PBE, relaxed); ΔH_f (0 K) = 133.12 kJ per mole of atoms
1.0
4.085 0.000 0.000
0.000 4.085 0.000
0.000 0.000 4.382
Hg B Rh C
1 1 2 1
direct
0.000 0.000 0.000
0.000 0.000 0.500
0.000 0.500 0.500
0.500 0.000 0.500
0.500 0.500 0.000

=====

# 20
Tl2HgP (PBE, relaxed); ΔH_f (0 K) = 26.06 kJ per mole of atoms; offset from the most stable computed form = 0.1534 eV/atom
1.0
4.252 0.000 0.000
0.000 4.220 0.000
-0.270 0.000 6.088
Tl Hg P
2 1 1
direct
0.000 0.000 0.000
0.500 0.500 0.500
0.000 0.000 0.500
0.500 0.500 0.000